No. 1
Compound: Pr2SnO
Source: the Alexandria database
Functional: GGA-PBE
Structure: optimized geometry

```
4
Lattice="3.281 0.000 0.000 0.000 3.281 0.000 0.000 0.000 8.045" Properties=species:S:1:pos:R:3 pbc="T T T"
Pr 0.000 0.000 1.601
Pr 0.000 0.000 6.444
Sn 1.640 1.640 4.023
O 1.640 1.640 0.000
```

Values from the calculation:
The energy comes out at -23.71 eV per cell. Its formation energy from raw total energies is -1296 meV per atom. Its relative energy among the computed polymorphs is 0.503 eV per atom.

No. 2
Compound: PrSnO
Source: the Alexandria database
Functional: GGA-PBE
Structure: optimized geometry

```
12
Lattice="3.926 0.000 0.000 0.000 17.494 0.000 0.000 0.000 5.865" Properties=species:S:1:pos:R:3 pbc="T T T"
Pr 0.000 1.512 1.466
Pr 0.000 15.982 4.398
Pr 1.963 7.235 4.398
Pr 1.963 10.259 1.466
Sn 0.000 4.351 4.398
Sn 0.000 13.142 1.466
Sn 1.963 4.395 1.466
Sn 1.963 13.098 4.398
O 0.000 0.000 0.000
O 0.000 0.000 2.932
O 1.963 8.747 0.000
O 1.963 8.747 2.932
```

Values from the calculation:
The energy comes out at -70.42 eV per cell. Its formation energy from raw total energies is -1288 meV per atom. Its relative energy among the computed polymorphs is 0.804 eV per atom.

No. 3
Compound: PrSnO
Source: the Alexandria database
Functional: GGA-PBE
Structure: optimized geometry

```
6
Lattice="4.114 0.000 0.000 0.000 4.114 0.000 0.000 0.000 8.207" Properties=species:S:1:pos:R:3 pbc="T T T"
Pr 1.028 1.028 1.167
Pr 3.085 3.085 7.040
Sn 1.028 1.028 4.681
Sn 3.085 3.085 3.525
O 1.028 3.085 0.000
O 3.085 1.028 0.000
```

Values from the calculation:
The energy comes out at -40.04 eV per cell. Its formation energy from raw total energies is -2093 meV per atom. Its relative energy among the computed polymorphs is 0.000 eV per atom.

No. 4
Compound: Pr2SnO
Source: the Alexandria database
Functional: GGA-PBE
Structure: optimized geometry

```
16
Lattice="9.514 0.000 0.000 0.000 4.282 0.000 0.000 0.000 11.676" Properties=species:S:1:pos:R:3 pbc="T T T"
Pr 0.129 1.070 2.683
Pr 1.461 3.211 5.570
Pr 3.296 1.070 11.409
Pr 4.628 3.211 8.521
Pr 4.886 1.070 3.155
Pr 6.218 3.211 0.268
Pr 8.053 1.070 6.106
Pr 9.385 3.211 8.994
Sn 2.251 1.070 8.167
Sn 2.505 3.211 2.328
Sn 7.008 1.070 9.348
Sn 7.262 3.211 3.510
O 0.567 1.070 4.932
O 4.190 3.211 10.770
O 5.324 1.070 0.906
O 8.947 3.211 6.744
```

Values from the calculation:
The energy comes out at -101.81 eV per cell. Its formation energy from raw total energies is -1733 meV per atom. Its relative energy among the computed polymorphs is 0.066 eV per atom.

No. 5
Compound: Pr3SnO6
Source: the Alexandria database
Functional: GGA-PBE
Structure: optimized geometry

```
20
Lattice="4.721 -5.876 0.000 4.721 5.876 0.000 0.000 0.000 5.873" Properties=species:S:1:pos:R:3 pbc="T T T"
Pr 4.721 4.687 2.936
Pr 2.858 1.265 3.247
Pr 2.858 -1.265 0.311
Pr 6.584 1.265 3.247
Pr 6.584 -1.265 0.311
Pr 4.721 -4.687 0.000
Sn 4.721 1.967 0.378
Sn 4.721 -1.967 3.314
O 3.265 3.017 1.444
O 1.511 0.163 1.620
O 1.511 -0.163 4.557
O 4.721 2.655 4.217
O 6.177 3.017 1.444
O 4.721 0.219 1.780
O 4.721 -0.219 4.717
O 3.265 -3.017 4.381
O 4.721 -2.655 1.281
O 7.932 0.163 1.620
O 7.932 -0.163 4.557
O 6.177 -3.017 4.381
```

Values from the calculation:
The energy comes out at -152.29 eV per cell. Its formation energy from raw total energies is -2805 meV per atom. Its relative energy among the computed polymorphs is 0.035 eV per atom.

No. 6
Compound: Pr7Sn2O2
Source: the Alexandria database
Functional: GGA-PBE
Structure: optimized geometry

```
11
Lattice="5.787 -4.017 0.000 5.787 4.017 0.000 -0.610 0.000 6.494" Properties=species:S:1:pos:R:3 pbc="T T T"
Pr 0.000 0.000 0.000
Pr 2.803 1.721 4.999
Pr 4.834 0.000 1.413
Pr 2.803 -1.721 4.999
Pr 8.162 1.721 1.495
Pr 6.130 0.000 5.081
Pr 8.162 -1.721 1.495
Sn 5.482 2.584 3.247
Sn 5.482 -2.584 3.247
O 2.531 0.000 0.213
O 8.433 0.000 6.281
```

Values from the calculation:
The energy comes out at -63.08 eV per cell. Its formation energy from raw total energies is -1063 meV per atom.

> What is the energy in the second record?

-70.42 eV per cell

Please write out number 4 again, unchanged.
Compound: Pr2SnO
Source: the Alexandria database
Functional: GGA-PBE
Structure: optimized geometry

```
16
Lattice="9.514 0.000 0.000 0.000 4.282 0.000 0.000 0.000 11.676" Properties=species:S:1:pos:R:3 pbc="T T T"
Pr 0.129 1.070 2.683
Pr 1.461 3.211 5.570
Pr 3.296 1.070 11.409
Pr 4.628 3.211 8.521
Pr 4.886 1.070 3.155
Pr 6.218 3.211 0.268
Pr 8.053 1.070 6.106
Pr 9.385 3.211 8.994
Sn 2.251 1.070 8.167
Sn 2.505 3.211 2.328
Sn 7.008 1.070 9.348
Sn 7.262 3.211 3.510
O 0.567 1.070 4.932
O 4.190 3.211 10.770
O 5.324 1.070 0.906
O 8.947 3.211 6.744
```

Values from the calculation:
The energy comes out at -101.81 eV per cell. Its formation energy from raw total energies is -1733 meV per atom. Its relative energy among the computed polymorphs is 0.066 eV per atom.

> Which of these has the highest formation energy from raw total energies?

Pr7Sn2O2